Entry 1:
Computed, not measured: a relaxed Hf2Ta4Bi3C3 crystal at the PBE level of DFT.

Lattice parameters (Å, degrees): 5.9583 5.9583 13.9445 102.30 102.30 60.10
With the nearest neighbours (Å) after each atom.
Sites, in units of the cell vectors:
Ta (0.3082, 0.1431, 0.9246)  3 C 2.23-2.24
Hf (0.3635, 0.5282, 0.0851)  3 C 2.29-2.30
C (0.5000, 0.0000, 0.5000)  4 Ta 2.23, 2 Hf 2.30
Bi (0.2402, 0.4166, 0.7499)  2 Hf 3.02-3.03, 4 Ta 3.06-3.07
Ta (0.0234, 0.1936, 0.0755)  3 C 2.23-2.24
Ta (0.1936, 0.0234, 0.5755)  3 C 2.23-2.24
Ta (0.1431, 0.3082, 0.4246)  3 C 2.23-2.24
Hf (0.5282, 0.3635, 0.5851)  3 C 2.29-2.30
Hf (0.6365, 0.4718, 0.9149)  3 C 2.29-2.30
Ta (0.8064, 0.9766, 0.4245)  3 C 2.23-2.24
Bi (0.9259, 0.0741, 0.7500)  2 Hf 3.03, 4 Ta 3.07, 2 Bi 3.39
C (0.3330, 0.8336, 0.0000)  4 Ta 2.23-2.24, 2 Hf 2.29
Ta (0.9766, 0.8064, 0.9245)  3 C 2.23-2.24
C (0.0000, 0.5000, 0.0000)  4 Ta 2.23, 2 Hf 2.30
Bi (0.4166, 0.2402, 0.2499)  2 Hf 3.02-3.03, 4 Ta 3.06-3.07
C (0.1664, 0.6670, 0.5000)  4 Ta 2.23-2.24, 2 Hf 2.29
C (0.6670, 0.1664, 0.0000)  4 Ta 2.23-2.24, 2 Hf 2.29
Bi (0.5834, 0.7598, 0.7501)  2 Hf 3.02-3.03, 4 Ta 3.06-3.07
Ta (0.8569, 0.6918, 0.5754)  3 C 2.23-2.24
Hf (0.4718, 0.6365, 0.4149)  3 C 2.29-2.30
C (0.8336, 0.3330, 0.5000)  4 Ta 2.23-2.24, 2 Hf 2.29
Bi (0.7598, 0.5834, 0.2501)  2 Hf 3.02-3.03, 4 Ta 3.06-3.07
Ta (0.6918, 0.8569, 0.0754)  3 C 2.23-2.24
Bi (0.0741, 0.9259, 0.2500)  2 Hf 3.03, 4 Ta 3.07, 2 Bi 3.39

Computed properties:
Total energy, eV per atom: -9.22

=====

Entry 2:
Computed, not measured: a relaxed Hf2Bi3W4C3 crystal at the PBE level of DFT.

Lattice parameters (Å, degrees): 5.5842 5.5842 15.4510 90.38 90.38 60.58
With the nearest neighbours (Å) after each atom.
Sites, in units of the cell vectors:
W (0.8373, 0.0058, 0.0704)  3 C 2.12-2.18
C (0.6671, 0.1724, 0.5010)  4 W 2.12-2.18, 2 Hf 2.27-2.31
Bi (0.5478, 0.7838, 0.7775)  2 W 2.82-3.01
W (0.6730, 0.8252, 0.4377)  3 C 2.07-2.15
Hf (0.3342, 0.4983, 0.4122)  3 C 2.27-2.31
C (0.8276, 0.3329, 0.9990)  4 W 2.12-2.18, 2 Hf 2.27-2.31
C (0.0000, 0.5000, 0.5000)  4 W 2.07-2.18, 2 Hf 2.31
C (0.1724, 0.6671, 0.0010)  4 W 2.12-2.18, 2 Hf 2.27-2.31
C (0.3329, 0.8276, 0.4990)  4 W 2.12-2.18, 2 Hf 2.27-2.31
Bi (0.4522, 0.2162, 0.2225)  2 W 2.82-3.01
W (0.3270, 0.1748, 0.5623)  3 C 2.07-2.15
W (0.0058, 0.8373, 0.5704)  3 C 2.12-2.18
Bi (0.2162, 0.4522, 0.7225)  2 W 2.82-3.01
Hf (0.6658, 0.5017, 0.5878)  3 C 2.27-2.31
Hf (0.4983, 0.3342, 0.9122)  3 C 2.27-2.31
W (0.1627, 0.9942, 0.9296)  3 C 2.12-2.18
W (0.1748, 0.3270, 0.0623)  3 C 2.07-2.15
C (0.5000, 0.0000, 0.0000)  4 W 2.07-2.18, 2 Hf 2.31
W (0.9942, 0.1627, 0.4296)  3 C 2.12-2.18
Bi (0.8906, 0.1094, 0.7500)  2 W 3.07, 2 Hf 3.16, 6 Bi 3.22-3.31
Hf (0.5017, 0.6658, 0.0878)  3 C 2.27-2.31
Bi (0.1094, 0.8906, 0.2500)  2 W 3.07, 2 Hf 3.16, 6 Bi 3.22-3.31
W (0.8252, 0.6730, 0.9377)  3 C 2.07-2.15
Bi (0.7838, 0.5478, 0.2775)  2 W 2.82-3.01

Computed properties:
Total energy, eV per atom: -9.20